i) First-principles (PBE) data for HfO4 after structural relaxation, as listed in OQMD via LeMat-Bulk.

The spin magnetization is 0.6 μB per formula unit.

The space group is P2/c (No. 13) and the conventional cell measures 3.286, 6.887 and 6.094 Å, with angles of 90.00, 121.36 and 90.00 degrees. Symmetry generates all atoms from Hf at (0.000, 0.080, 0.250), O at (0.257, 0.142, 0.008) and O at (0.366, 0.444, 0.511).

=====

ii) First-principles (PBE) data for HfO4 after structural relaxation, as listed in OQMD via LeMat-Bulk.

The spin magnetization is 0.0 μB per formula unit.

The space group is C2/m (No. 12) and the conventional cell measures 7.758, 3.526 and 4.193 Å, with angles of 90.00, 91.63 and 90.00 degrees. Symmetry generates all atoms from Hf at (0.000, 0.000, 0.000), O at (0.091, 0.000, 0.506) and O at (0.142, 0.500, 0.013).

=====

i) is the most stable structure; the next one sits 342 meV/atom above it.

=====

i) First-principles (PBE) data for HfPaPO after structural relaxation, as listed in OQMD via LeMat-Bulk.

The spin magnetization is 0.5 μB per formula unit.

The space group is P4/nmm (No. 129, origin choice 2) and the conventional cell measures 4.170, 4.170 and 7.974 Å, with angles of 90.00, 90.00 and 90.00 degrees. Symmetry generates all atoms from Hf at (0.250, 0.250, 0.099), Pa at (0.250, 0.750, 0.500), P at (0.250, 0.250, 0.746) and O at (0.250, 0.750, 0.000).

=====

ii) First-principles (PBE) data for HfPaPO after structural relaxation, as listed in OQMD via LeMat-Bulk.

The spin magnetization is 1.0 μB per formula unit.

The space group is Pmc2_1 (No. 26) and the conventional cell measures 3.946, 7.300 and 5.800 Å, with angles of 90.00, 90.00 and 90.00 degrees. Symmetry generates all atoms from Hf at (0.000, 0.102, 0.000), Pa at (0.500, 0.288, 0.488), P at (0.500, 0.333, 0.981) and O at (0.000, 0.167, 0.355).

=====

iii) First-principles (PBE) data for HfPaPO after structural relaxation, as listed in OQMD via LeMat-Bulk.

The spin magnetization is 1.0 μB per formula unit.

The space group is Pmc2_1 (No. 26) and the conventional cell measures 3.872, 6.072 and 6.543 Å, with angles of 90.00, 90.00 and 90.00 degrees. Symmetry generates all atoms from Hf at (0.000, 0.179, 0.000), Pa at (0.500, 0.294, 0.592), P at (0.000, 0.445, 0.306) and O at (0.500, 0.069, 0.945).

=====

iii) is the most stable structure; the next one sits 158 meV/atom above it.